Entry 1:
# MgHg2H2

A geometry-optimized MgHg2H2 structure (GGA-PBE, Alexandria via LeMat-Bulk).

Values from the calculation:
- V (Å³ per cell) = 151.8
- ΔE to the lowest computed polymorph (eV per atom) = 0.179
- density of states at the Fermi level (states/eV/atom) = 0.290

Cell: 3.339 3.339 13.620 Å, 90.00 90.00 90.00°
Space group I4/mmm (No. 139)
Inequivalent atoms, fractional coordinates:
Mg  0.000  0.000  0.000 (multiplicity 2)
Hg  0.000  0.000  0.359 (multiplicity 4)
H  0.000  0.500  0.250 (multiplicity 4)

Entry 2:
# Ce3PuIn2

A geometry-optimized Ce3PuIn2 structure (GGA-PBE, Alexandria via LeMat-Bulk).

Values from the calculation:
- V (Å³ per cell) = 604.0
- ΔE to the lowest computed polymorph (eV per atom) = 0.000
- density of states at the Fermi level (states/eV/atom) = 2.323

Cell: 8.213 8.959 8.256 Å, 90.00 96.16 90.00°
Space group C2/c (No. 15)
Inequivalent atoms, fractional coordinates:
Ce  0.000  0.098  0.250 (multiplicity 4)
Ce  0.247  0.404  0.996 (multiplicity 8)
Pu  0.000  0.397  0.250 (multiplicity 4)
In  0.124  0.251  0.625 (multiplicity 8)

Entry 3:
# Cd5Au3Cl12

A geometry-optimized Cd5Au3Cl12 structure (GGA-PBE, Alexandria via LeMat-Bulk).

Values from the calculation:
- V (Å³ per cell) = 4237.0
- uncorrected formation energy (eV per atom) = -0.570
- density of states at the Fermi level (states/eV/atom) = 0.090

Cell: 16.182 16.182 16.182 Å, 90.00 90.00 90.00°
Space group Ia-3d (No. 230)
Inequivalent atoms, fractional coordinates:
Cd  0.000  0.000  0.000 (multiplicity 16)
Cd  0.000  0.250  0.375 (multiplicity 24)
Au  0.000  0.250  0.125 (multiplicity 24)
Cl  0.029  0.068  0.648 (multiplicity 96)

Entry 4:
# MgMo2W

A geometry-optimized MgMo2W structure (GGA-PBE, Alexandria via LeMat-Bulk).

Values from the calculation:
- DFT total energy (eV per formula unit) = -35.45
- V (Å³ per cell) = 132.4
- density of states at the Fermi level (states/eV/atom) = 0.635

Cell: 3.200 4.480 9.236 Å, 90.00 90.00 90.00°
Space group Cmm2 (No. 35)
Inequivalent atoms, fractional coordinates:
Mg  0.000  0.000  0.000 (multiplicity 2)
Mo  0.000  0.000  0.501 (multiplicity 2)
Mo  0.000  0.500  0.739 (multiplicity 2)
W  0.000  0.500  0.262 (multiplicity 2)

Entry 5:
# KTaTl2Se4

A geometry-optimized KTaTl2Se4 structure (GGA-PBE, Alexandria via LeMat-Bulk).

Values from the calculation:
- V (Å³ per cell) = 584.6
- uncorrected formation energy (eV per atom) = -0.728
- density of states at the Fermi level (states/eV/atom) = 0.000

Cell: 8.470 8.470 8.149 Å, 90.00 90.00 90.00°
Space group I-4 (No. 82)
Inequivalent atoms, fractional coordinates:
K  0.000  0.000  0.000 (multiplicity 2)
Ta  0.000  0.500  0.250 (multiplicity 2)
Tl  0.000  0.000  0.500 (multiplicity 2)
Tl  0.000  0.500  0.750 (multiplicity 2)
Se  0.159  0.667  0.425 (multiplicity 8)

Entry 6:
# Al2FeRe

A geometry-optimized Al2FeRe structure (GGA-PBE, Alexandria via LeMat-Bulk).

Values from the calculation:
- V (Å³ per cell) = 110.7
- ΔE to the lowest computed polymorph (eV per atom) = 0.065
- density of states at the Fermi level (states/eV/atom) = 0.699

Cell: 3.706 3.706 8.061 Å, 90.00 90.00 90.00°
Space group I-4m2 (No. 119)
Inequivalent atoms, fractional coordinates:
Al  0.000  0.000  0.000 (multiplicity 2)
Al  0.000  0.500  0.250 (multiplicity 2)
Fe  0.000  0.500  0.750 (multiplicity 2)
Re  0.000  0.000  0.500 (multiplicity 2)

Entry 7:
# Li6CoBr8

A geometry-optimized Li6CoBr8 structure (GGA-PBE, Alexandria via LeMat-Bulk).

Values from the calculation:
- V (Å³ per cell) = 1325.9
- uncorrected formation energy (eV per atom) = -1.259
- density of states at the Fermi level (states/eV/atom) = 0.733

Cell: 10.986 10.986 10.986 Å, 90.00 90.00 90.00°
Space group Fm-3m (No. 225)
Inequivalent atoms, fractional coordinates:
Li  0.000  0.250  0.250 (multiplicity 24)
Co  0.000  0.000  0.000 (multiplicity 4)
Br  0.000  0.000  0.238 (multiplicity 24)
Br  0.250  0.250  0.250 (multiplicity 8)

Entry 8:
# Ba2Bi2SbPb2

A geometry-optimized Ba2Bi2SbPb2 structure (GGA-PBE, Alexandria via LeMat-Bulk).

Values from the calculation:
- V (Å³ per cell) = 580.4
- uncorrected formation energy (eV per atom) = -0.476
- density of states at the Fermi level (states/eV/atom) = 0.404

Cell: 17.668 5.429 6.495 Å, 90.00 111.30 90.00°
Space group C2/m (No. 12)
Inequivalent atoms, fractional coordinates:
Ba  0.133  0.000  0.234 (multiplicity 4)
Bi  0.224  0.000  0.820 (multiplicity 4)
Sb  0.000  0.500  0.000 (multiplicity 2)
Pb  0.116  0.500  0.723 (multiplicity 4)

| no. | magnetic moment (Bohr magnetons per cell) |
| --- | --- |
| 1 | 0.0 |
| 2 | 27.2 |
| 3 | 0.0 |
| 4 | 0.0 |
| 5 | 0.0 |
| 6 | 5.2 |
| 7 | 12.0 |
| 8 | 0.0 |